First-principles (GGA-PBE) data for crystalline HfFe3Se at its relaxed geometry, as listed in the Alexandria database.

Output
Crystal system: cubic
N(E_F): 6.42 states/eV/f.u.
SG: Pm-3m (221)
V: 80.73 Å³/cell
Formation energy from raw total energies: 0.438 eV per atom
Calculated density: 8.742 g/cm3
VASP energy: -7.3270 eV per atom
Energy above the lowest structure with this stoichiometry: 0 kJ/mol of formula units

```
data_HfFe3Se
_space_group_name_H-M_alt 'P 1'
_space_group_IT_number 1
_cell_length_a 4.322
_cell_length_b 4.322
_cell_length_c 4.322
_cell_angle_alpha 90.00
_cell_angle_beta 90.00
_cell_angle_gamma 90.00
loop_
_space_group_symop_operation_xyz
'x,y,z'
loop_
_atom_site_label
_atom_site_type_symbol
_atom_site_fract_x
_atom_site_fract_y
_atom_site_fract_z
_atom_site_occupancy
Hf1 Hf 0.500 0.500 0.500 1
Fe1 Fe 0.000 0.500 0.000 1
Fe2 Fe 0.000 0.000 0.500 1
Fe3 Fe 0.500 0.000 0.000 1
Se1 Se 0.000 0.000 0.000 1
```